# Ac6FeRh2

A geometry-optimized Ac6FeRh2 structure (PBE, Alexandria).

Output
Its symmetry is No. 148. For the formation energy, the calculation gives -2.47 eV/f.u.

abc: 8.0575 8.0575 8.0575
angles: 54.28 54.28 54.28
With the nearest neighbours (Å) after each atom.
Fractional coordinates of all 9 atoms:
Ac 0.0897 0.4227 0.7395  1 Fe 2.93, 2 Rh 2.95-2.99
Ac 0.2605 0.9103 0.5773  1 Fe 2.93, 2 Rh 2.95-2.99
Ac 0.4227 0.7395 0.0897  1 Fe 2.93, 2 Rh 2.95-2.99
Ac 0.5773 0.2605 0.9103  1 Fe 2.93, 2 Rh 2.95-2.99
Ac 0.7395 0.0897 0.4227  1 Fe 2.93, 2 Rh 2.95-2.99
Ac 0.9103 0.5773 0.2605  1 Fe 2.93, 2 Rh 2.95-2.99
Fe 0.5000 0.5000 0.5000  6 Ac 2.93
Rh 0.3329 0.3329 0.3329  6 Ac 2.95-2.99
Rh 0.6671 0.6671 0.6671  6 Ac 2.95-2.99

# LiHgPb2

A geometry-optimized LiHgPb2 structure (PBE, Alexandria).

Output
Its symmetry is No. 12. For the formation energy, the calculation gives -0.32 eV/f.u.

abc: 6.0791 6.0791 3.4326
angles: 102.08 102.08 113.12
With the nearest neighbours (Å) after each atom.
Fractional coordinates of all 4 atoms:
Li 0.0000 0.0000 0.0000  4 Pb 3.16, 2 Hg 3.35, 2 Li 3.43
Hg 0.5000 0.5000 0.0000  4 Pb 3.16, 2 Li 3.35, 2 Hg 3.43
Pb 0.0000 0.5000 0.5000  2 Hg 3.16, 2 Li 3.16, 4 Pb 3.35-3.43
Pb 0.5000 0.0000 0.5000  2 Hg 3.16, 2 Li 3.16, 4 Pb 3.35-3.43

# InPdF2

A geometry-optimized InPdF2 structure (PBE, Alexandria).

Output
The calculation puts the formation energy (no corrections) at -1.04 eV per atom. Its symmetry is No. 225.

abc: 4.3200 4.3200 4.3200
angles: 60.00 60.00 60.00
With the nearest neighbours (Å) after each atom.
Fractional coordinates of all 4 atoms:
In 0.0000 0.0000 0.0000  8 F 2.65
Pd 0.5000 0.5000 0.5000  8 F 2.65
F 0.2500 0.2500 0.2500  4 In 2.65, 4 Pd 2.65
F 0.7500 0.7500 0.7500  4 In 2.65, 4 Pd 2.65

# ZrTiHg

A geometry-optimized ZrTiHg structure (PBE, Alexandria).

Output
Its symmetry is No. 2. For the formation energy, the calculation gives -0.08 eV/f.u.

abc: 3.0749 3.0753 13.1265
angles: 89.97 89.87 89.99
With the nearest neighbours (Å) after each atom.
Fractional coordinates of all 6 atoms:
Zr 0.2475 0.2494 0.2325  4 Ti 3.03, 4 Zr 3.07-3.08, 4 Hg 3.17
Zr 0.7525 0.7506 0.7675  4 Ti 3.03, 4 Zr 3.07-3.08, 4 Hg 3.17
Ti 0.2511 0.2506 0.9285  8 Ti 2.87-3.08, 4 Zr 3.03
Ti 0.7489 0.7494 0.0715  8 Ti 2.87-3.08, 4 Zr 3.03
Hg 0.2542 0.2509 0.5920  8 Hg 3.07-3.27, 4 Zr 3.17
Hg 0.7458 0.7491 0.4080  8 Hg 3.07-3.27, 4 Zr 3.17

# Tb5PrTlIn2

A geometry-optimized Tb5PrTlIn2 structure (PBE, Alexandria).

Output
Its symmetry is No. 140. For the formation energy, the calculation gives -0.71 eV/f.u.

abc: 9.3651 9.3651 9.3651
angles: 125.11 125.11 81.36
With the nearest neighbours (Å) after each atom.
Fractional coordinates of all 18 atoms:
Tb 0.0000 0.0000 0.0000  4 In 3.49, 2 Tl 3.55, 8 Tb 3.63
Tb 0.0726 0.5726 0.9110  1 In 2.93, 1 Pr 3.01
Tb 0.1616 0.0726 0.5000  1 In 2.93, 1 Pr 3.01
Tb 0.3384 0.8384 0.9110  1 In 2.93, 1 Pr 3.01
Tb 0.4274 0.3384 0.5000  1 In 2.93, 1 Pr 3.01
Tb 0.5000 0.5000 0.0000  4 In 3.49, 2 Tl 3.55, 8 Tb 3.63
Tb 0.5726 0.6616 0.5000  1 In 2.93, 1 Pr 3.01
Tb 0.6616 0.1616 0.0890  1 In 2.93, 1 Pr 3.01
Tb 0.8384 0.9274 0.5000  1 In 2.93, 1 Pr 3.01
Tb 0.9274 0.4274 0.0890  1 In 2.93, 1 Pr 3.01
Pr 0.2500 0.7500 0.5000  4 Tb 3.01
Pr 0.7500 0.2500 0.5000  4 Tb 3.01
Tl 0.2500 0.2500 0.0000  10 Tb 3.52-3.55
Tl 0.7500 0.7500 0.0000  10 Tb 3.52-3.55
In 0.1107 0.3893 0.5000  1 In 2.70, 2 Tb 2.93
In 0.3893 0.8893 0.2787  1 In 2.70, 2 Tb 2.93
In 0.6107 0.1107 0.7213  1 In 2.70, 2 Tb 2.93
In 0.8893 0.6107 0.5000  1 In 2.70, 2 Tb 2.93

# MnAg2Sb

A geometry-optimized MnAg2Sb structure (PBE, Alexandria).

Output
The calculation puts the formation energy (no corrections) at 0.25 eV per atom. Its symmetry is No. 123.

abc: 3.1513 3.1513 7.9756
angles: 90.00 90.00 90.00
With the nearest neighbours (Å) after each atom.
Fractional coordinates of all 4 atoms:
Mn 0.0000 0.0000 0.0000  8 Ag 2.81
Ag 0.5000 0.5000 0.2151  4 Mn 2.81
Ag 0.5000 0.5000 0.7849  4 Mn 2.81
Sb 0.0000 0.0000 0.5000  4 Sb 3.15, 8 Ag 3.18

Number 1: final energy -5.59 eV/atom, magnetization 0.00 μB/f.u., DOS(E_F) 0.852 states/eV/atom. Number 2: final energy -2.49 eV/atom, magnetization 0.00 μB/f.u., DOS(E_F) 0.383 states/eV/atom. Number 3: final energy -3.96 eV/atom, magnetization 0.00 μB/f.u., DOS(E_F) 0.417 states/eV/atom. Number 4: final energy -5.61 eV/atom, magnetization 0.00 μB/f.u., DOS(E_F) 1.213 states/eV/atom. Number 5: final energy -4.05 eV/atom, magnetization 0.00 μB/f.u., DOS(E_F) 0.950 states/eV/atom. Number 6: final energy -4.50 eV/atom, magnetization 4.05 μB/f.u., DOS(E_F) 0.315 states/eV/atom.